Crystalline FeAg2C at its relaxed geometry. Source: Alexandria via LeMat-Bulk, functional PBE.

ΔE_f ... 1.531 eV/atom

Cell: 9.6811 9.6811 9.6811 Å, 158.52 158.52 30.57°
Last column: nearest neighbours and their distance in Å.
Atoms (fractional coordinates):
Fe1 0.0000 0.0000 0.0000  4 C 2.55, 4 Ag 2.67
Fe2 0.7500 0.2500 0.5000  4 C 2.55, 4 Ag 2.67
Ag1 0.1298 0.6250 0.0048  4 Ag 2.53-2.58, 2 C 2.65, 2 Fe 2.67
Ag2 0.3750 0.3798 0.5048  4 Ag 2.53-2.58, 2 C 2.65, 2 Fe 2.67
Ag3 0.6202 0.1250 0.9952  4 Ag 2.53-2.58, 2 C 2.65, 2 Fe 2.67
Ag4 0.8750 0.8702 0.4952  4 Ag 2.53-2.58, 2 C 2.65, 2 Fe 2.67
C1 0.2500 0.7500 0.5000  4 Fe 2.55, 4 Ag 2.65
C2 0.5000 0.5000 0.0000  4 Fe 2.55, 4 Ag 2.65



Crystalline HoInCu at its relaxed geometry. Source: Alexandria via LeMat-Bulk, functional PBE.

ΔE_f ... -0.215 eV/atom

Cell: 6.2322 6.2322 6.2322 Å, 149.08 149.08 44.29°
Last column: nearest neighbours and their distance in Å.
Atoms (fractional coordinates):
Ho1 0.0000 0.0000 0.0000  4 Cu 2.95
In1 0.7039 0.7039 0.0000  4 Cu 2.86
Cu1 0.3449 0.3449 0.0000  4 In 2.86, 4 Ho 2.95



Crystalline TiBe2InI at its relaxed geometry. Source: Alexandria via LeMat-Bulk, functional PBE.

E_form (uncorrected) ... 6.60 eV per formula unit

Cell: 4.6941 4.6941 5.0992 Å, 90.00 90.00 90.00°
Last column: nearest neighbours and their distance in Å.
Atoms (fractional coordinates):
Ti1 0.0000 0.0000 0.0000  2 I 2.55
Be1 0.0000 0.5000 0.5000  2 I 2.35
Be2 0.5000 0.0000 0.5000  2 I 2.35
In1 0.5000 0.5000 0.0000  4 Ti 3.32, 8 Be 3.47
I1 0.0000 0.0000 0.5000  4 Be 2.35, 2 Ti 2.55



Crystalline Ac3BI3 at its relaxed geometry. Source: Alexandria via LeMat-Bulk, functional PBE.

E_form (uncorrected) ... -6.44 eV per formula unit

Cell: 11.1446 11.1446 11.1446 Å, 109.47 109.47 109.47°
Last column: nearest neighbours and their distance in Å.
Atoms (fractional coordinates):
Ac1 0.0217 0.0434 0.2717  2 B 2.95
Ac2 0.0217 0.4783 0.7500  2 B 2.95
Ac3 0.0434 0.2717 0.0217  2 B 2.95
Ac4 0.2283 0.2717 0.7500  2 B 2.95
Ac5 0.2283 0.4566 0.4783  2 B 2.95
Ac6 0.2717 0.0217 0.0434  2 B 2.95
Ac7 0.2717 0.7500 0.2283  2 B 2.95
Ac8 0.4566 0.4783 0.2283  2 B 2.95
Ac9 0.4783 0.2283 0.4566  2 B 2.95
Ac10 0.4783 0.7500 0.0217  2 B 2.95
Ac11 0.7500 0.0217 0.4783  2 B 2.95
Ac12 0.7500 0.2283 0.2717  2 B 2.95
B1 0.0000 0.2500 0.5000  6 Ac 2.95
B2 0.2500 0.2500 0.2500  6 Ac 2.95
B3 0.2500 0.5000 0.0000  6 Ac 2.95
B4 0.5000 0.0000 0.2500  6 Ac 2.95
I1 0.2500 0.7616 0.7384  4 Ac 3.40-3.53
I2 0.2500 0.9884 0.5116  4 Ac 3.40-3.53
I3 0.5116 0.2500 0.9884  4 Ac 3.40-3.53
I4 0.5116 0.7616 0.5231  4 Ac 3.40-3.53
I5 0.5231 0.5116 0.7616  4 Ac 3.40-3.53
I6 0.7384 0.2500 0.7616  4 Ac 3.40-3.53
I7 0.7384 0.9884 0.9769  4 Ac 3.40-3.53
I8 0.7616 0.5231 0.5116  4 Ac 3.40-3.53
I9 0.7616 0.7384 0.2500  4 Ac 3.40-3.53
I10 0.9769 0.7384 0.9884  4 Ac 3.40-3.53
I11 0.9884 0.5116 0.2500  4 Ac 3.40-3.53
I12 0.9884 0.9769 0.7384  4 Ac 3.40-3.53



Number 1: VASP energy -34.5 eV per cell, total moment 6.3 Bohr magnetons per cell. Number 2: VASP energy -12.1 eV per cell, total moment 0.0 Bohr magnetons per cell. Number 3: VASP energy -13.0 eV per cell, total moment 0.0 Bohr magnetons per cell. Number 4: VASP energy -120.4 eV per cell, total moment 0.0 Bohr magnetons per cell.